Entry 1:
PbAuIO2: optimized geometry, GGA-PBE.

The structure in CIF format:
```
data_PbAuIO2
_space_group_name_H-M_alt 'P 4/m m m'
_space_group_IT_number 123
_space_group_name_Hall '-P 4 2'
_cell_length_a 4.399
_cell_length_b 4.399
_cell_length_c 5.336
_cell_angle_alpha 90.00
_cell_angle_beta 90.00
_cell_angle_gamma 90.00
loop_
_atom_site_label
_atom_site_type_symbol
_atom_site_fract_x
_atom_site_fract_y
_atom_site_fract_z
Pb1 Pb 0.000 0.000 0.000
Au1 Au 0.500 0.500 0.500
I1 I 0.500 0.500 0.000
O1 O 0.000 0.500 0.500
```

**Formation energy without anion corrections**: 5.9 kcal/mol of atoms
**E above lowest polymorph**: 0.253 eV per atom
**DFT total energy**: -3.43 eV/atom

Entry 2:
PbAuIO2: optimized geometry, GGA-PBE.

The structure in CIF format:
```
data_PbAuIO2
_space_group_name_H-M_alt 'P 4/m m m'
_space_group_IT_number 123
_space_group_name_Hall '-P 4 2'
_cell_length_a 4.207
_cell_length_b 4.207
_cell_length_c 6.458
_cell_angle_alpha 90.00
_cell_angle_beta 90.00
_cell_angle_gamma 90.00
loop_
_atom_site_label
_atom_site_type_symbol
_atom_site_fract_x
_atom_site_fract_y
_atom_site_fract_z
Pb1 Pb 0.000 0.000 0.000
Au1 Au 0.500 0.500 0.500
I1 I 0.000 0.000 0.500
O1 O 0.000 0.500 0.000
```

**Formation energy without anion corrections**: 0.1 kcal/mol of atoms
**E above lowest polymorph**: 0.000 eV per atom
**DFT total energy**: -3.69 eV/atom

Entry 3:
PdAuI2O: optimized geometry, GGA-PBE.

The structure in CIF format:
```
data_PdAuI2O
_space_group_name_H-M_alt 'P 4/m m m'
_space_group_IT_number 123
_space_group_name_Hall '-P 4 2'
_cell_length_a 5.706
_cell_length_b 5.706
_cell_length_c 3.923
_cell_angle_alpha 90.00
_cell_angle_beta 90.00
_cell_angle_gamma 90.00
loop_
_atom_site_label
_atom_site_type_symbol
_atom_site_fract_x
_atom_site_fract_y
_atom_site_fract_z
Pd1 Pd 0.000 0.000 0.000
Au1 Au 0.500 0.500 0.500
I1 I 0.000 0.500 0.500
O1 O 0.500 0.500 0.000
```

**Formation energy without anion corrections**: 11.9 kcal/mol of atoms
**E above lowest polymorph**: 0.250 eV per atom
**DFT total energy**: -2.79 eV/atom

Entry 4:
PdAuI2O: optimized geometry, GGA-PBE.

The structure in CIF format:
```
data_PdAuI2O
_space_group_name_H-M_alt 'P 4/m m m'
_space_group_IT_number 123
_space_group_name_Hall '-P 4 2'
_cell_length_a 5.647
_cell_length_b 5.647
_cell_length_c 3.831
_cell_angle_alpha 90.00
_cell_angle_beta 90.00
_cell_angle_gamma 90.00
loop_
_atom_site_label
_atom_site_type_symbol
_atom_site_fract_x
_atom_site_fract_y
_atom_site_fract_z
Pd1 Pd 0.000 0.000 0.000
Au1 Au 0.500 0.500 0.500
I1 I 0.000 0.500 0.000
O1 O 0.000 0.000 0.500
```

**Formation energy without anion corrections**: 6.1 kcal/mol of atoms
**E above lowest polymorph**: 0.000 eV per atom
**DFT total energy**: -3.04 eV/atom

Entry 5:
PuAuIO6: optimized geometry, GGA-PBE.

The structure in CIF format:
```
data_PuAuIO6
_space_group_name_H-M_alt 'P -3 1 c'
_space_group_IT_number 163
_space_group_name_Hall '-P 3 2c'
_cell_length_a 5.6788
_cell_length_b 5.6788
_cell_length_c 9.7619
_cell_angle_alpha 90.00
_cell_angle_beta 90.00
_cell_angle_gamma 120.00
loop_
_atom_site_label
_atom_site_type_symbol
_atom_site_fract_x
_atom_site_fract_y
_atom_site_fract_z
Pu1 Pu 0.3333 0.6667 0.2500
Au1 Au 0.0000 0.0000 0.0000
I1 I 0.3333 0.6667 0.7500
O1 O 0.0019 0.3649 0.6385
```

**Formation energy without anion corrections**: -21.8 kcal/mol of atoms
**DFT total energy**: -6.38 eV/atom

Entry 6:
RbAuI2O: optimized geometry, GGA-PBE.

The structure in CIF format:
```
data_RbAuI2O
_space_group_name_H-M_alt 'P 4/m m m'
_space_group_IT_number 123
_space_group_name_Hall '-P 4 2'
_cell_length_a 6.065
_cell_length_b 6.065
_cell_length_c 4.115
_cell_angle_alpha 90.00
_cell_angle_beta 90.00
_cell_angle_gamma 90.00
loop_
_atom_site_label
_atom_site_type_symbol
_atom_site_fract_x
_atom_site_fract_y
_atom_site_fract_z
Rb1 Rb 0.000 0.000 0.000
Au1 Au 0.500 0.500 0.500
I1 I 0.000 0.500 0.500
O1 O 0.500 0.500 0.000
```

**Formation energy without anion corrections**: -9.3 kcal/mol of atoms
**E above lowest polymorph**: 0.000 eV per atom
**DFT total energy**: -2.86 eV/atom

Entry 7:
Rb5AuIO2: optimized geometry, GGA-PBE.

The structure in CIF format:
```
data_Rb5AuIO2
_space_group_name_H-M_alt 'P 4/m m m'
_space_group_IT_number 123
_space_group_name_Hall '-P 4 2'
_cell_length_a 5.827
_cell_length_b 5.827
_cell_length_c 9.651
_cell_angle_alpha 90.00
_cell_angle_beta 90.00
_cell_angle_gamma 90.00
loop_
_atom_site_label
_atom_site_type_symbol
_atom_site_fract_x
_atom_site_fract_y
_atom_site_fract_z
Rb1 Rb 0.000 0.000 0.000
Rb2 Rb 0.000 0.500 0.293
Au1 Au 0.000 0.000 0.500
I1 I 0.500 0.500 0.000
O1 O 0.000 0.000 0.286
```

**Formation energy without anion corrections**: -22.6 kcal/mol of atoms
**DFT total energy**: -3.15 eV/atom

Entry 8:
Rb12Au4IO3: optimized geometry, GGA-PBE.

The structure in CIF format:
```
data_Rb12Au4IO3
_space_group_name_H-M_alt 'I m -3 m'
_space_group_IT_number 229
_space_group_name_Hall '-I 4 2 3'
_cell_length_a 11.882
_cell_length_b 11.882
_cell_length_c 11.882
_cell_angle_alpha 90.00
_cell_angle_beta 90.00
_cell_angle_gamma 90.00
loop_
_atom_site_label
_atom_site_type_symbol
_atom_site_fract_x
_atom_site_fract_y
_atom_site_fract_z
Rb1 Rb 0.000 0.000 0.285
Rb2 Rb 0.000 0.250 0.500
Au1 Au 0.250 0.250 0.250
I1 I 0.000 0.000 0.000
O1 O 0.000 0.000 0.500
```

**Formation energy without anion corrections**: -14.9 kcal/mol of atoms
**DFT total energy**: -2.70 eV/atom

Which value of formation energy without anion corrections does entry 6 give?
-9.3 kcal/mol of atoms

Repeat the first record exactly.
PbAuIO2: optimized geometry, GGA-PBE.

The structure in CIF format:
```
data_PbAuIO2
_space_group_name_H-M_alt 'P 4/m m m'
_space_group_IT_number 123
_space_group_name_Hall '-P 4 2'
_cell_length_a 4.399
_cell_length_b 4.399
_cell_length_c 5.336
_cell_angle_alpha 90.00
_cell_angle_beta 90.00
_cell_angle_gamma 90.00
loop_
_atom_site_label
_atom_site_type_symbol
_atom_site_fract_x
_atom_site_fract_y
_atom_site_fract_z
Pb1 Pb 0.000 0.000 0.000
Au1 Au 0.500 0.500 0.500
I1 I 0.500 0.500 0.000
O1 O 0.000 0.500 0.500
```

**Formation energy without anion corrections**: 5.9 kcal/mol of atoms
**E above lowest polymorph**: 0.253 eV per atom
**DFT total energy**: -3.43 eV/atom

formation energy without anion corrections of number 1 (PbAuIO2)?
5.9 kcal/mol of atoms